BaGa4Pd6, relaxed, DFT PBE; symmetry = P-6m2 (187); DFT total energy = -4.78 eV/atom
1.0
4.034 0.000 0.000
0.000 7.458 0.000
0.000 -3.729 6.459
Ga Pd Ba
4 6 1
Direct
0.000 0.333 0.667
0.500 0.796 0.204
0.500 0.796 0.591
0.500 0.409 0.204
0.500 0.592 0.796
0.500 0.204 0.796
0.000 0.933 0.466
0.500 0.204 0.408
0.000 0.534 0.466
0.000 0.534 0.067
0.000 0.000 0.000


Sr2TiCrAg, relaxed, DFT PBE; symmetry = P4/mmm (123); DFT total energy = -3.85 eV/atom
1.0
-2.691 -3.715 -3.755
3.715 0.817 -3.471
3.100 -4.523 2.254
Ti Cr Ag Sr
1 1 1 2
Direct
0.500 0.500 0.500
0.000 0.500 0.000
0.000 0.000 0.000
0.500 0.000 0.000
0.000 0.000 0.500


Be2InSe, relaxed, DFT PBE; uncorrected formation energy = 0.61 eV per formula unit; symmetry = Cm (8)
1.0
5.788 0.002 0.020
4.709 3.366 0.020
0.869 0.279 4.053
Be In Se
2 1 1
Direct
0.665 0.665 0.937
0.053 0.053 0.022
0.512 0.512 0.543
0.269 0.269 0.999


Pm5Tl2As, relaxed, DFT PBE; symmetry = Pbam (55); DFT total energy = -4.70 eV/atom
1.0
4.504 0.000 0.000
0.000 8.652 0.000
0.000 0.000 12.657
Pm Tl As
10 4 2
Direct
0.500 0.805 0.928
0.500 0.195 0.072
0.000 0.646 0.708
0.000 0.000 0.500
0.500 0.695 0.428
0.000 0.354 0.292
0.000 0.500 0.000
0.000 0.146 0.792
0.000 0.854 0.208
0.500 0.305 0.572
0.500 0.078 0.325
0.500 0.578 0.175
0.500 0.422 0.825
0.500 0.922 0.675
0.000 0.500 0.500
0.000 0.000 0.000


BaLiGa3, relaxed, DFT PBE; symmetry = Imma (74); DFT total energy = -2.93 eV/atom
1.0
-1.852 -2.724 -5.544
-4.817 -2.846 3.007
-6.812 9.173 -2.232
Ba Li Ga
4 4 12
Direct
0.000 0.500 0.000
0.000 0.500 0.500
0.500 0.000 0.000
0.500 0.000 0.500
0.750 0.249 0.750
0.250 0.751 0.250
0.750 0.749 0.750
0.250 0.251 0.250
0.497 0.500 0.124
0.503 0.500 0.876
0.003 0.000 0.124
0.250 0.250 0.750
0.997 0.000 0.876
0.003 0.000 0.376
0.750 0.750 0.250
0.503 0.500 0.624
0.250 0.750 0.750
0.750 0.250 0.250
0.497 0.500 0.376
0.997 0.000 0.624


Be2PtPb, relaxed, DFT PBE; symmetry = Cm (8); DFT total energy = -4.46 eV/atom
1.0
-0.545 -1.501 -3.509
-3.073 -2.217 -0.713
-3.035 4.226 -1.662
Be Pt Pb
2 1 1
Direct
0.967 0.967 0.995
0.635 0.635 0.949
0.295 0.295 0.092
0.603 0.603 0.464


Sc2TaCl, relaxed, DFT PBE; uncorrected formation energy = -0.57 eV per formula unit; symmetry = Pm (6)
1.0
4.880 0.000 0.000
0.000 3.162 -0.043
0.000 1.649 5.249
Sc Ta Cl
2 1 1
Direct
0.500 0.275 0.325
0.000 0.981 0.918
0.000 0.719 0.436
0.500 0.524 0.821


Dy6P2SeS3, relaxed, DFT PBE; uncorrected formation energy = -22.61 eV per formula unit; symmetry = C2/m (12)
1.0
3.966 0.000 0.000
0.000 7.943 0.312
-1.983 -2.262 8.350
Dy S P Se
6 3 2 1
Direct
0.331 0.421 0.661
0.672 0.096 0.344
0.669 0.579 0.339
0.004 0.265 0.008
0.328 0.904 0.656
0.996 0.735 0.992
0.500 0.500 0.000
0.164 0.835 0.327
0.836 0.165 0.673
0.833 0.667 0.667
0.167 0.333 0.333
0.500 0.000 0.000